Entry 1:
DFT (PBE-GGA) results for crystalline Pm2YPu3Te6 at its relaxed geometry.

Cell: 19.367 4.416 8.893 Å, 90.00 103.87 90.00°
Space group C2/m (No. 12)
Inequivalent atoms, fractional coordinates:
Pm 0.167 0.000 0.335 (multiplicity 4)
Y 0.000 0.500 0.000 (multiplicity 2)
Pu 0.000 0.500 0.500 (multiplicity 2)
Pu 0.168 0.000 0.834 (multiplicity 4)
Te 0.001 0.000 0.754 (multiplicity 4)
Te 0.165 0.500 0.080 (multiplicity 4)
Te 0.166 0.500 0.586 (multiplicity 4)

Output
Calculated total energy = -185.8 eV per cell
Total magnetic moment = 35.66 μB per cell
Density of states at the Fermi level = 2.7676 states/eV per atom
Raw formation energy = -1.256 eV/atom

---

Entry 2:
DFT (PBE-GGA) results for crystalline Cs3SmDy2Te6 at its relaxed geometry.

Cell: 7.932 13.739 9.310 Å, 90.00 106.50 90.00°
Space group C2/m (No. 12)
Inequivalent atoms, fractional coordinates:
Cs 0.000 0.000 0.000 (multiplicity 2)
Cs 0.000 0.335 0.000 (multiplicity 4)
Sm 0.000 0.500 0.500 (multiplicity 2)
Dy 0.000 0.167 0.500 (multiplicity 4)
Te 0.225 0.000 0.690 (multiplicity 4)
Te 0.233 0.331 0.691 (multiplicity 8)

Output
Calculated total energy = -104.1 eV per cell
Total magnetic moment = 0.00 μB per cell
Raw formation energy = -1.393 eV/atom